{"formula": "ErInCuNi", "functional": "GGA-PBE", "state": "optimized geometry", "ef_kj_per_mol_atoms": -32.63, "total_magnetization_mub_per_fu": 0.00, "mass_density_g_cm3": 9.57, "volume_a3_per_atom": 17.5, "lattice": [[0.000, 3.273, 3.273], [3.273, 0.000, 3.273], [3.273, 3.273, 0.000]], "species": ["Er", "In", "Cu", "Ni"], "fractional_positions": [[0.000, 0.000, 0.000], [0.500, 0.500, 0.500], [0.750, 0.750, 0.750], [0.250, 0.250, 0.250]]}